## CaZr2Si (PBE)

Data for crystalline CaZr2Si at its relaxed geometry.

crystal system: tetragonal
energy relative to the elements, uncorrected: 14 kJ/mol of atoms

Unit cell a=8.187 b=8.187 c=5.832 alpha=90.00 beta=90.00 gamma=90.00
Space group I-42d (No. 122)
Symmetry-distinct sites (fractional):
Ca 0.000 0.000 0.000 x4
Zr 0.192 0.250 0.625 x8
Si 0.000 0.000 0.500 x4



## BaSrZn3 (PBE)

Data for crystalline BaSrZn3 at its relaxed geometry.

energy of formation from the pure elements: -0.20 eV per atom
relative energy among the computed polymorphs: 0.000 eV/atom
crystal system: orthorhombic

Unit cell a=4.374 b=30.448 c=4.580 alpha=90.00 beta=90.00 gamma=90.00
Space group Cmcm (No. 63)
Symmetry-distinct sites (fractional):
Ba 0.000 0.196 0.250 x4
Sr 0.000 0.063 0.750 x4
Zn 0.000 0.348 0.250 x4
Zn 0.000 0.392 0.750 x4
Zn 0.000 0.479 0.750 x4



## MgBO3 (PBE)

Data for crystalline MgBO3 at its relaxed geometry.

crystal system: orthorhombic
energy relative to the elements, uncorrected: -204 kJ/mol of atoms

Unit cell a=4.491 b=7.748 c=4.893 alpha=90.00 beta=90.00 gamma=90.00
Space group Pnma (No. 62)
Symmetry-distinct sites (fractional):
Mg 0.000 0.000 0.000 x4
B 0.011 0.250 0.422 x4
O 0.099 0.107 0.591 x8
O 0.173 0.250 0.147 x4



no.,total energy (eV per atom)
1,-5.987
2,-1.689
3,-6.746